Entry 1:
Computed, not measured: a relaxed structure of CsSiSCl2 at the PBE-GGA level of DFT.

Properties
The energy is -0.2726 Ry per atom. As for the total magnetization: 0.0 μB per formula unit. As for the calculated volume: 25.54 A^3/atom. Its raw formation energy is -0.89 eV per atom.

abc: 5.286 5.286 4.570
angles: 90.00 90.00 90.00
Space group P4/mmm (No. 123)
Symmetry-distinct sites (fractional):
Cs (0.000, 0.000, 0.000) x1
Si (0.500, 0.500, 0.500) x1
S (0.500, 0.500, 0.000) x1
Cl (0.000, 0.500, 0.500) x2

---

Entry 2:
Computed, not measured: a relaxed structure of CsSiSCl2 at the PBE-GGA level of DFT.

Properties
The energy is -0.1567 Ry per atom. As for the total magnetization: 0.0 μB per formula unit. As for the calculated volume: 41.48 A^3/atom. Its raw formation energy is 0.69 eV per atom.

abc: 6.102 6.102 5.570
angles: 90.00 90.00 90.00
Space group P4/mmm (No. 123)
Symmetry-distinct sites (fractional):
Cs (0.000, 0.000, 0.000) x1
Si (0.500, 0.500, 0.500) x1
S (0.000, 0.000, 0.500) x1
Cl (0.000, 0.500, 0.000) x2

---

Entry 3:
Computed, not measured: a relaxed structure of CsSrS2Cl at the PBE-GGA level of DFT.

Properties
The energy is -0.2645 Ry per atom. As for the total magnetization: 2.0 μB per formula unit. As for the calculated volume: 39.03 A^3/atom. Its raw formation energy is -1.07 eV per atom.

abc: 5.812 5.812 5.776
angles: 90.00 90.00 90.00
Space group P4/mmm (No. 123)
Symmetry-distinct sites (fractional):
Cs (0.000, 0.000, 0.000) x1
Sr (0.500, 0.500, 0.500) x1
S (0.000, 0.500, 0.500) x2
Cl (0.500, 0.500, 0.000) x1

---

Entry 4:
Computed, not measured: a relaxed structure of CsSrSCl at the PBE-GGA level of DFT.

Properties
The energy is -0.2978 Ry per atom. As for the total magnetization: 0.0 μB per formula unit. As for the calculated volume: 35.01 A^3/atom. Its raw formation energy is -1.92 eV per atom.

abc: 4.4415 4.4415 24.5882
angles: 90.00 90.00 120.00
Space group R3m (No. 160, hexagonal axes)
Symmetry-distinct sites (fractional):
Cs (0.0000, 0.0000, 0.0000) x3
Sr (0.0000, 0.0000, 0.1819) x3
S (0.0000, 0.0000, 0.5729) x3
Cl (0.0000, 0.0000, 0.7736) x3

---

Entry 5:
Computed, not measured: a relaxed structure of CsSrSCl2 at the PBE-GGA level of DFT.

Properties
The energy is -0.2150 Ry per atom. As for the total magnetization: 0.1 μB per formula unit. As for the calculated volume: 40.24 A^3/atom. Its raw formation energy is -0.85 eV per atom.

abc: 6.041 6.041 5.513
angles: 90.00 90.00 90.00
Space group P4/mmm (No. 123)
Symmetry-distinct sites (fractional):
Cs (0.000, 0.000, 0.000) x1
Sr (0.500, 0.500, 0.500) x1
S (0.000, 0.000, 0.500) x1
Cl (0.000, 0.500, 0.000) x2

---

Entry 6:
Computed, not measured: a relaxed structure of CsSrS2Cl at the PBE-GGA level of DFT.

Properties
The energy is -0.2148 Ry per atom. As for the total magnetization: 0.0 μB per formula unit. As for the calculated volume: 35.56 A^3/atom. Its raw formation energy is -0.39 eV per atom.

abc: 5.461 5.461 5.962
angles: 90.00 90.00 90.00
Space group P4/mmm (No. 123)
Symmetry-distinct sites (fractional):
Cs (0.000, 0.000, 0.000) x1
Sr (0.500, 0.500, 0.500) x1
S (0.000, 0.500, 0.000) x2
Cl (0.000, 0.000, 0.500) x1

---

Repeat the third record exactly.
Computed, not measured: a relaxed structure of CsSrS2Cl at the PBE-GGA level of DFT.

Properties
The energy is -0.2645 Ry per atom. As for the total magnetization: 2.0 μB per formula unit. As for the calculated volume: 39.03 A^3/atom. Its raw formation energy is -1.07 eV per atom.

abc: 5.812 5.812 5.776
angles: 90.00 90.00 90.00
Space group P4/mmm (No. 123)
Symmetry-distinct sites (fractional):
Cs (0.000, 0.000, 0.000) x1
Sr (0.500, 0.500, 0.500) x1
S (0.000, 0.500, 0.500) x2
Cl (0.500, 0.500, 0.000) x1